1.
# Lu2Zr4Tl3N3

Lu2Zr4Tl3N3 after structural relaxation (PBE, OQMD).

Lattice parameters (Å, degrees): 10.1562 5.8678 15.2314 90.00 102.82 90.00
Last column: nearest neighbours and their distance in Å.
Space group C2/c (No. 15)
One atom of each set of equivalent atoms:
Lu  0.0530  0.0822  0.4131 (multiplicity 8)  3 N 2.33-2.36
Zr  0.1097  0.4152  0.5793 (multiplicity 8)  3 N 2.28-2.30
Zr  0.2243  0.4173  0.9208 (multiplicity 8)  3 N 2.28-2.30
Tl  0.0000  0.4328  0.2500 (multiplicity 4)  4 Zr 3.18, 2 Lu 3.18, 6 Tl 3.30-3.55
Tl  0.1750  0.0917  0.7502 (multiplicity 8)  2 Lu 3.17-3.18, 4 Zr 3.17, 4 Tl 3.30-3.31
N  0.0827  0.2480  0.0000 (multiplicity 8)  4 Zr 2.28-2.30, 2 Lu 2.33
N  0.2500  0.2500  0.5000 (multiplicity 4)  4 Zr 2.28, 2 Lu 2.36

***

2.
# PrPaPO

PrPaPO after structural relaxation (PBE, OQMD).

Summary:
- E above lowest polymorph (meV/atom) = 29

Lattice parameters (Å, degrees): 4.2043 7.9220 5.9923 90.00 90.00 90.00
Last column: nearest neighbours and their distance in Å.
Space group Pmc2_1 (No. 26)
One atom of each set of equivalent atoms:
Pr  0.0000  0.1986  0.0000 (multiplicity 2)  2 O 2.40
Pa  0.5000  0.3886  0.5271 (multiplicity 2)  2 O 2.31-2.38
P  0.0000  0.1608  0.5037 (multiplicity 2)  2 Pa 2.77, 3 Pr 2.85-3.03
O  0.5000  0.3313  0.9174 (multiplicity 2)  2 Pa 2.31-2.38, 2 Pr 2.40

***

3.
# RbSrIr

RbSrIr after structural relaxation (PBE, OQMD).

Lattice parameters (Å, degrees): 7.4092 7.4092 7.4092 90.00 90.00 90.00
Last column: nearest neighbours and their distance in Å.
Space group F-43m (No. 216)
One atom of each set of equivalent atoms:
Rb  0.0000  0.0000  0.0000 (multiplicity 4)  4 Ir 3.21
Sr  0.0000  0.0000  0.5000 (multiplicity 4)  4 Ir 3.21
Ir  0.2500  0.2500  0.2500 (multiplicity 4)  4 Rb 3.21, 4 Sr 3.21

***

4.
# YFeSiOs

YFeSiOs after structural relaxation (PBE, OQMD).

Summary:
- E above lowest polymorph (meV/atom) = 244

Lattice parameters (Å, degrees): 6.4454 6.4454 6.4454 90.00 90.00 90.00
Last column: nearest neighbours and their distance in Å.
Space group F-43m (No. 216)
One atom of each set of equivalent atoms:
Y  0.0000  0.0000  0.0000 (multiplicity 4)  4 Si 2.79, 4 Os 2.79
Fe  0.0000  0.0000  0.5000 (multiplicity 4)  4 Os 2.79, 4 Si 2.79
Si  0.2500  0.2500  0.2500 (multiplicity 4)  4 Fe 2.79, 4 Y 2.79
Os  0.2500  0.2500  0.7500 (multiplicity 4)  4 Fe 2.79, 4 Y 2.79

***

5.
# LiSiIr2

LiSiIr2 after structural relaxation (PBE, OQMD).

Lattice parameters (Å, degrees): 6.0027 6.0027 6.0027 90.00 90.00 90.00
Last column: nearest neighbours and their distance in Å.
Space group F-43m (No. 216)
One atom of each set of equivalent atoms:
Li  0.0000  0.0000  0.0000 (multiplicity 4)  4 Ir 2.60, 4 Si 2.60
Si  0.2500  0.2500  0.7500 (multiplicity 4)  4 Li 2.60, 4 Ir 2.60
Ir  0.0000  0.0000  0.5000 (multiplicity 4)  4 Ir 2.60, 4 Si 2.60
Ir  0.2500  0.2500  0.2500 (multiplicity 4)  4 Li 2.60, 4 Ir 2.60

***

6.
# BaTbCo

BaTbCo after structural relaxation (PBE, OQMD).

Summary:
- E above lowest polymorph (meV/atom) = 0

Lattice parameters (Å, degrees): 7.0112 7.0112 7.0112 90.00 90.00 90.00
Last column: nearest neighbours and their distance in Å.
Space group F-43m (No. 216)
One atom of each set of equivalent atoms:
Ba  0.0000  0.0000  0.0000 (multiplicity 4)  4 Co 3.04
Tb  0.0000  0.0000  0.5000 (multiplicity 4)  4 Co 3.04
Co  0.2500  0.2500  0.2500 (multiplicity 4)  4 Tb 3.04, 4 Ba 3.04

***

Across the entries above, VASP energy takes the values -7.30; -7.47; -3.35; -7.59; -6.37; -4.15 eV/atom, respectively.